(1)
DFT (GGA-PBE) results for an optimized crystal structure of Mg2CuOs.

Output
Symmetry ... R-3m
Crystal system ... trigonal
VASP energy ... -4.473 eV per atom
ΔE_f ... 0.156 eV/atom
DOS(E_F) ... 2.39 states/eV/f.u.

Cell lengths 9.0650, 9.0650, 9.0650 Å; angles 17.99, 17.99, 17.99 degrees
With the nearest neighbours (Å) after each atom.
Positions (direct):
1 Cu 0.2500 0.2500 0.2500  6 Mg 2.75, 6 Cu 2.84
2 Mg 0.9994 0.9994 0.9994  3 Cu 2.75, 3 Os 2.78, 6 Mg 2.84
3 Mg 0.5006 0.5006 0.5006  3 Cu 2.75, 3 Os 2.78, 6 Mg 2.84
4 Os 0.7500 0.7500 0.7500  6 Mg 2.78, 6 Os 2.84

(2)
DFT (GGA-PBE) results for an optimized crystal structure of MgCuOs2.

Output
Symmetry ... R3m
Crystal system ... trigonal
VASP energy ... -6.822 eV per atom
ΔE_f ... 0.215 eV/atom
DOS(E_F) ... 4.51 states/eV/f.u.

Cell lengths 9.0402, 9.0402, 9.0402 Å; angles 17.59, 17.59, 17.59 degrees
With the nearest neighbours (Å) after each atom.
Positions (direct):
1 Cu 0.5023 0.5023 0.5023  3 Os 2.70, 6 Cu 2.77, 3 Mg 2.77
2 Mg 0.7510 0.7510 0.7510  6 Mg 2.77, 3 Cu 2.77, 3 Os 2.84
3 Os 0.9961 0.9961 0.9961  9 Os 2.64-2.77, 3 Mg 2.84
4 Os 0.2506 0.2506 0.2506  9 Os 2.64-2.77, 3 Cu 2.70

(3)
DFT (GGA-PBE) results for an optimized crystal structure of Mg2Cu2Os.

Output
Symmetry ... I4/mmm
Crystal system ... tetragonal
VASP energy ... -3.798 eV per atom
ΔE_f ... 0.724 eV/atom
DOS(E_F) ... 2.06 states/eV/f.u.

Cell lengths 3.7829, 3.7829, 6.0409 Å; angles 71.75, 71.75, 90.00 degrees
With the nearest neighbours (Å) after each atom.
Positions (direct):
1 Mg 0.7500 0.2500 0.5000  4 Cu 2.50, 4 Mg 2.67
2 Mg 0.2500 0.7500 0.5000  4 Cu 2.50, 4 Mg 2.67
3 Os 0.0000 0.0000 0.0000  8 Cu 2.88
4 Cu 0.4007 0.4007 0.1986  1 Cu 2.15
5 Cu 0.5993 0.5993 0.8014  1 Cu 2.15

(4)
DFT (GGA-PBE) results for an optimized crystal structure of Mg2CuOs.

Output
Symmetry ... Cm
Crystal system ... monoclinic
VASP energy ... -4.500 eV per atom
ΔE_f ... 0.129 eV/atom
DOS(E_F) ... 2.47 states/eV/f.u.

Cell lengths 5.2038, 5.2038, 4.7658 Å; angles 71.37, 71.37, 31.25 degrees
With the nearest neighbours (Å) after each atom.
Positions (direct):
1 Cu 0.2298 0.2298 0.2046  2 Os 2.59, 7 Mg 2.75-2.82, 2 Cu 2.80
2 Mg 0.9814 0.9814 0.0645  4 Os 2.76-2.82, 3 Cu 2.77-2.78, 3 Mg 2.80-3.03
3 Mg 0.7680 0.7680 0.6866  4 Cu 2.75-2.82, 3 Os 2.78, 3 Mg 2.80-3.03
4 Os 0.5208 0.5208 0.5442  2 Cu 2.59, 7 Mg 2.76-2.82, 2 Os 2.80